VASP calculation (GGA-PBE) on crystalline Tc2NiTe at its relaxed geometry.

Computed properties:
- space group = Immm
- calculated density (g/cm³) = 10.1
- volume (Å³/cell) = 63
- ΔE_f (raw) (eV/atom) = 0.453

Cell: 5.2785 5.2785 5.2785 Å, 144.96 131.34 61.36°
Closest atoms and distances in Å follow each position.
Atoms (fractional coordinates):
Tc (0.5221, 0.5221, 0.0000)  2 Te 2.61, 4 Tc 2.72
Tc (0.9779, 0.9779, 0.0000)  2 Te 2.61, 4 Tc 2.72
Ni (0.2500, 0.7500, 0.5000)  4 Te 2.69, 8 Tc 2.94-3.00
Te (0.7500, 0.2500, 0.5000)  4 Tc 2.61, 4 Ni 2.69